[1]
# CdPb2SCl (GGA-PBE, optimized geometry)
# DFT total energy in eV per atom: -2.657
data_CdPb2SCl
_chemical_formula_sum 'Cd1 Pb2 S1 Cl1'
_space_group_name_H-M_alt 'P 4/m m m'
_space_group_IT_number 123
_space_group_name_Hall '-P 4 2'
_cell_length_a 5.692
_cell_length_b 5.692
_cell_length_c 4.967
_cell_angle_alpha 90.00
_cell_angle_beta 90.00
_cell_angle_gamma 90.00
loop_
_atom_site_label
_atom_site_type_symbol
_atom_site_fract_x
_atom_site_fract_y
_atom_site_fract_z
Cd1 Cd 0.000 0.000 0.000
Pb1 Pb 0.000 0.500 0.000
S1 S 0.500 0.500 0.500
Cl1 Cl 0.000 0.000 0.500



[2]
# CdSbPbCl (GGA-PBE, optimized geometry)
# DFT total energy in eV per atom: -2.908
data_CdSbPbCl
_chemical_formula_sum 'Cd4 Sb4 Pb4 Cl4'
_space_group_name_H-M_alt 'F -4 3 m'
_space_group_IT_number 216
_space_group_name_Hall 'F -4 2 3'
_cell_length_a 7.510
_cell_length_b 7.510
_cell_length_c 7.510
_cell_angle_alpha 90.00
_cell_angle_beta 90.00
_cell_angle_gamma 90.00
loop_
_atom_site_label
_atom_site_type_symbol
_atom_site_fract_x
_atom_site_fract_y
_atom_site_fract_z
Cd1 Cd 0.000 0.000 0.000
Sb1 Sb 0.250 0.250 0.250
Pb1 Pb 0.000 0.000 0.500
Cl1 Cl 0.250 0.250 0.750



[3]
# CdSnPbCl6 (GGA-PBE, optimized geometry)
# DFT total energy in eV per atom: -3.250
data_CdSnPbCl6
_chemical_formula_sum 'Cd2 Sn2 Pb2 Cl12'
_space_group_name_H-M_alt 'P 42 n m'
_space_group_IT_number 102
_space_group_name_Hall 'P 4n -2n'
_cell_length_a 6.605
_cell_length_b 6.605
_cell_length_c 12.777
_cell_angle_alpha 90.00
_cell_angle_beta 90.00
_cell_angle_gamma 90.00
loop_
_atom_site_label
_atom_site_type_symbol
_atom_site_fract_x
_atom_site_fract_y
_atom_site_fract_z
Cd1 Cd 0.000 0.000 0.000
Sn1 Sn 0.000 0.000 0.334
Pb1 Pb 0.000 0.000 0.667
Cl1 Cl 0.188 0.188 0.158
Cl2 Cl 0.193 0.193 0.845
Cl3 Cl 0.211 0.211 0.498



[4]
# SrCdPb2Cl8 (GGA-PBE, optimized geometry)
# DFT total energy in eV per atom: -3.514
data_SrCdPb2Cl8
_chemical_formula_sum 'Sr1 Cd1 Pb2 Cl8'
_space_group_name_H-M_alt 'P 1 2/m 1'
_space_group_IT_number 10
_space_group_name_Hall '-P 2y'
_cell_length_a 6.505
_cell_length_b 8.665
_cell_length_c 6.736
_cell_angle_alpha 90.00
_cell_angle_beta 90.33
_cell_angle_gamma 90.00
loop_
_atom_site_label
_atom_site_type_symbol
_atom_site_fract_x
_atom_site_fract_y
_atom_site_fract_z
Sr1 Sr 0.000 0.000 0.000
Cd1 Cd 0.000 0.500 0.000
Pb1 Pb 0.500 0.260 0.500
Cl1 Cl 0.222 0.269 0.156
Cl2 Cl 0.250 0.500 0.680
Cl3 Cl 0.269 0.000 0.659



[5]
# SrCdPbCl6 (GGA-PBE, optimized geometry)
# DFT total energy in eV per atom: -3.483
data_SrCdPbCl6
_chemical_formula_sum 'Sr2 Cd2 Pb2 Cl12'
_space_group_name_H-M_alt 'P 42 n m'
_space_group_IT_number 102
_space_group_name_Hall 'P 4n -2n'
_cell_length_a 6.617
_cell_length_b 6.617
_cell_length_c 12.943
_cell_angle_alpha 90.00
_cell_angle_beta 90.00
_cell_angle_gamma 90.00
loop_
_atom_site_label
_atom_site_type_symbol
_atom_site_fract_x
_atom_site_fract_y
_atom_site_fract_z
Sr1 Sr 0.000 0.000 0.000
Cd1 Cd 0.000 0.000 0.666
Pb1 Pb 0.000 0.000 0.331
Cl1 Cl 0.189 0.189 0.511
Cl2 Cl 0.189 0.189 0.820
Cl3 Cl 0.210 0.210 0.165



[6]
# Sr2CdPbCl8 (GGA-PBE, optimized geometry)
# DFT total energy in eV per atom: -3.673
data_Sr2CdPbCl8
_chemical_formula_sum 'Sr2 Cd1 Pb1 Cl8'
_space_group_name_H-M_alt 'P 1 2/m 1'
_space_group_IT_number 10
_space_group_name_Hall '-P 2y'
_cell_length_a 6.497
_cell_length_b 8.753
_cell_length_c 6.688
_cell_angle_alpha 90.00
_cell_angle_beta 90.27
_cell_angle_gamma 90.00
loop_
_atom_site_label
_atom_site_type_symbol
_atom_site_fract_x
_atom_site_fract_y
_atom_site_fract_z
Sr1 Sr 0.000 0.242 0.000
Cd1 Cd 0.500 0.000 0.500
Pb1 Pb 0.500 0.500 0.500
Cl1 Cl 0.228 0.500 0.157
Cl2 Cl 0.242 0.000 0.181
Cl3 Cl 0.282 0.231 0.658



[7]
# Tl2CdPbCl6 (GGA-PBE, optimized geometry)
# DFT total energy in eV per atom: -3.098
data_Tl2CdPbCl6
_chemical_formula_sum 'Tl2 Cd1 Pb1 Cl6'
_space_group_name_H-M_alt 'P 4 m m'
_space_group_IT_number 99
_space_group_name_Hall 'P 4 -2'
_cell_length_a 7.578
_cell_length_b 7.578
_cell_length_c 5.861
_cell_angle_alpha 90.00
_cell_angle_beta 90.00
_cell_angle_gamma 90.00
loop_
_atom_site_label
_atom_site_type_symbol
_atom_site_fract_x
_atom_site_fract_y
_atom_site_fract_z
Tl1 Tl 0.000 0.500 0.000
Cd1 Cd 0.000 0.000 0.569
Pb1 Pb 0.500 0.500 0.591
Cl1 Cl 0.000 0.000 0.147
Cl2 Cl 0.237 0.237 0.683
Cl3 Cl 0.500 0.500 0.115



[8]
# TlCdPbCl5 (GGA-PBE, optimized geometry)
# DFT total energy in eV per atom: -3.118
data_TlCdPbCl5
_chemical_formula_sum 'Tl4 Cd4 Pb4 Cl20'
_space_group_name_H-M_alt 'C 1 2/c 1'
_space_group_IT_number 15
_space_group_name_Hall '-C 2yc'
_cell_length_a 9.339
_cell_length_b 12.612
_cell_length_c 10.304
_cell_angle_alpha 90.00
_cell_angle_beta 113.45
_cell_angle_gamma 90.00
loop_
_atom_site_label
_atom_site_type_symbol
_atom_site_fract_x
_atom_site_fract_y
_atom_site_fract_z
Tl1 Tl 0.000 0.159 0.250
Cd1 Cd 0.000 0.181 0.750
Pb1 Pb 0.000 0.500 0.000
Cl1 Cl 0.000 0.405 0.250
Cl2 Cl 0.127 0.292 0.624
Cl3 Cl 0.176 0.061 0.942